[1]
This record from the Alexandria database describes a relaxed CsNdP4O12 crystal. The functional is PBE-GGA.

Results
The calculated total energy is -262.04 eV per cell. As for the space-group type: P2_1 (4). For the density of states at the Fermi level, the calculation gives 0.0000 states/eV/atom. The formation energy (no corrections) is -237.2 kJ/mol of atoms. As for the magnetic moment: 0.00 μB/atom.

Lattice parameters (Å, degrees): 9.314 7.229 8.914 80.40 90.00 90.00
Fractional positions:
O1 0.291 0.223 0.890
O2 0.229 0.162 0.367
O3 0.547 0.574 0.473
O4 0.644 0.640 0.923
O5 0.963 0.011 0.183
O6 0.463 0.989 0.817
O7 0.478 0.287 0.363
O8 0.246 0.652 0.594
O9 0.593 0.548 0.200
O10 0.030 0.657 0.231
O11 0.937 0.043 0.507
O12 0.323 0.575 0.908
O13 0.093 0.452 0.800
O14 0.530 0.343 0.769
O15 0.144 0.360 0.077
O16 0.047 0.426 0.527
O17 0.729 0.838 0.633
O18 0.791 0.777 0.110
O19 0.834 0.776 0.387
O20 0.978 0.713 0.637
O21 0.334 0.224 0.613
O22 0.746 0.348 0.406
O23 0.437 0.957 0.493
O24 0.823 0.425 0.092
P1 0.419 0.191 0.774
P2 0.865 0.856 0.542
P3 0.919 0.809 0.226
P4 0.102 0.561 0.624
P5 0.217 0.416 0.928
P6 0.365 0.144 0.458
P7 0.717 0.584 0.072
P8 0.602 0.439 0.376
Cs1 0.328 0.830 0.173
Cs2 0.828 0.170 0.827
Nd1 0.492 0.700 0.698
Nd2 0.992 0.300 0.302

---

[2]
This record from the Alexandria database describes a relaxed Cs4NdPa3O12 crystal. The functional is PBE-GGA.

Results
The calculated total energy is -151.67 eV per cell. As for the space-group type: Im-3m (229). For the density of states at the Fermi level, the calculation gives 0.9937 states/eV/atom. The formation energy (no corrections) is -267.7 kJ/mol of atoms. As for the magnetic moment: 0.07 μB/atom.

Lattice parameters (Å, degrees): 7.816 7.816 7.816 109.47 109.47 109.47
Each line ends with the local moment (μB).
Fractional positions:
O1 0.500 0.250 0.750  0.11
O2 0.250 0.750 0.500  0.11
O3 0.750 0.500 0.250  0.11
O4 0.750 0.250 0.500  0.11
O5 0.000 0.268 0.268  0.07
O6 0.250 0.500 0.750  0.11
O7 0.000 0.732 0.732  0.07
O8 0.732 0.732 0.000  0.07
O9 0.268 0.268 0.000  0.07
O10 0.732 0.000 0.732  0.07
O11 0.500 0.750 0.250  0.11
O12 0.268 0.000 0.268  0.07
Cs1 0.000 0.000 0.500  0.00
Cs2 0.000 0.500 0.000  0.00
Cs3 0.500 0.500 0.500  0.00
Cs4 0.500 0.000 0.000  0.00
Pa1 0.500 0.500 0.000  0.01
Pa2 0.000 0.500 0.500  0.01
Pa3 0.500 0.000 0.500  0.01
Nd1 0.000 0.000 0.000  0.01

---

[3]
This record from the Alexandria database describes a relaxed Cs2NdPa3O12 crystal. The functional is PBE-GGA.

Results
The calculated total energy is -142.93 eV per cell. As for the space-group type: R-3m (166). For the density of states at the Fermi level, the calculation gives 0.8049 states/eV/atom. The formation energy (no corrections) is -259.8 kJ/mol of atoms. As for the magnetic moment: 0.22 μB/atom.

Lattice parameters (Å, degrees): 8.154 8.154 8.154 61.12 61.12 61.12
Each line ends with the local moment (μB).
Fractional positions:
O1 0.072 0.072 0.660  0.24
O2 0.308 0.935 0.308  0.25
O3 0.928 0.340 0.928  0.24
O4 0.928 0.928 0.340  0.24
O5 0.065 0.692 0.692  0.25
O6 0.692 0.065 0.692  0.25
O7 0.660 0.072 0.072  0.24
O8 0.935 0.308 0.308  0.25
O9 0.072 0.660 0.072  0.24
O10 0.692 0.692 0.065  0.25
O11 0.340 0.928 0.928  0.24
O12 0.308 0.308 0.935  0.25
Pa1 0.500 0.000 0.000  0.14
Pa2 0.000 0.500 0.000  0.14
Pa3 0.000 0.000 0.500  0.14
Cs1 0.630 0.630 0.630  0.00
Cs2 0.370 0.370 0.370  0.00
Nd1 0.000 0.000 0.000  0.01

---

[4]
This record from the Alexandria database describes a relaxed Cs2Nd2PbO6 crystal. The functional is PBE-GGA.

Results
The calculated total energy is -67.70 eV per cell. As for the space-group type: C2/m (12). For the density of states at the Fermi level, the calculation gives 0.0000 states/eV/atom. The formation energy (no corrections) is -201.7 kJ/mol of atoms. As for the magnetic moment: 0.00 μB/atom.

Lattice parameters (Å, degrees): 6.233 6.233 7.349 97.60 97.60 119.94
Fractional positions:
Cs1 0.835 0.165 0.000
Cs2 0.165 0.835 0.000
Nd1 0.666 0.334 0.500
Nd2 0.334 0.666 0.500
O1 0.742 0.742 0.662
O2 0.369 0.046 0.661
O3 0.258 0.258 0.338
O4 0.631 0.954 0.339
O5 0.954 0.631 0.339
O6 0.046 0.369 0.661
Pb1 0.000 0.000 0.500

---

[5]
This record from the Alexandria database describes a relaxed CsNdPbO3 crystal. The functional is PBE-GGA.

Results
The calculated total energy is -73.21 eV per cell. As for the space-group type: P2_1/m (11). For the density of states at the Fermi level, the calculation gives 0.0000 states/eV/atom. The formation energy (no corrections) is -199.4 kJ/mol of atoms. As for the magnetic moment: 0.00 μB/atom.

Lattice parameters (Å, degrees): 3.690 10.152 7.628 92.63 90.00 90.00
Fractional positions:
Cs1 0.750 0.702 0.628
Cs2 0.250 0.298 0.372
O1 0.250 0.811 0.332
O2 0.250 0.502 0.833
O3 0.750 0.189 0.668
O4 0.250 0.226 0.994
O5 0.750 0.774 0.006
O6 0.750 0.498 0.167
Pb1 0.250 0.077 0.777
Pb2 0.750 0.923 0.223
Nd1 0.750 0.363 0.904
Nd2 0.250 0.637 0.096

---

[6]
This record from the Alexandria database describes a relaxed Cs2NdPdO4 crystal. The functional is PBE-GGA.

Results
The calculated total energy is -84.30 eV per cell. As for the space-group type: Fddd (70). For the density of states at the Fermi level, the calculation gives 0.5175 states/eV/atom. The formation energy (no corrections) is -128.4 kJ/mol of atoms. As for the magnetic moment: 0.14 μB/atom.

Lattice parameters (Å, degrees): 6.192 7.767 12.512 84.34 75.67 66.51
Each line ends with the local moment (μB).
Fractional positions:
Pd1 0.500 0.000 0.000  0.40
Pd2 0.250 0.500 0.500  0.40
O1 0.139 0.300 0.469  0.14
O2 0.562 0.300 0.531  0.14
O3 0.393 0.700 0.469  0.14
O4 0.611 0.200 0.031  0.14
O5 0.357 0.800 0.031  0.14
O6 0.188 0.200 0.969  0.14
O7 0.907 0.700 0.531  0.14
O8 0.843 0.800 0.969  0.14
Cs1 0.190 0.000 0.620  0.00
Cs2 0.560 0.500 0.880  0.00
Cs3 0.940 0.500 0.120  0.00
Cs4 0.810 0.000 0.380  0.00
Nd1 0.750 0.500 0.500  -0.01
Nd2 0.000 0.000 0.000  -0.01

---

[7]
This record from the Alexandria database describes a relaxed Cs2PrNdO4 crystal. The functional is PBE-GGA.

Results
The calculated total energy is -51.03 eV per cell. As for the space-group type: P2/m (10). For the density of states at the Fermi level, the calculation gives 0.0000 states/eV/atom. The formation energy (no corrections) is -240.5 kJ/mol of atoms. As for the magnetic moment: 0.00 μB/atom.

Lattice parameters (Å, degrees): 3.723 6.448 7.283 107.13 90.00 90.00
Fractional positions:
O1 0.500 0.779 0.830
O2 0.000 0.275 0.829
O3 0.500 0.221 0.170
O4 0.000 0.725 0.171
Cs1 0.500 0.000 0.500
Cs2 0.000 0.500 0.500
Nd1 0.000 0.000 0.000
Pr1 0.500 0.500 0.000

---

[8]
This record from the Alexandria database describes a relaxed Cs3PrNd2O6 crystal. The functional is PBE-GGA.

Results
The calculated total energy is -76.59 eV per cell. As for the space-group type: C2/m (12). For the density of states at the Fermi level, the calculation gives 0.0000 states/eV/atom. The formation energy (no corrections) is -240.9 kJ/mol of atoms. As for the magnetic moment: 0.00 μB/atom.

Lattice parameters (Å, degrees): 6.440 6.440 7.283 98.48 98.48 120.00
Fractional positions:
Cs1 0.167 0.833 0.500
Cs2 0.500 0.500 0.500
Cs3 0.833 0.167 0.500
O1 0.279 0.279 0.830
O2 0.057 0.392 0.170
O3 0.392 0.057 0.170
O4 0.608 0.943 0.830
O5 0.721 0.721 0.170
O6 0.943 0.608 0.830
Pr1 0.000 0.000 0.000
Nd1 0.667 0.333 0.000
Nd2 0.333 0.667 0.000

---

[9]
This record from the Alexandria database describes a relaxed Cs3Pr2NdO6 crystal. The functional is PBE-GGA.

Results
The calculated total energy is -76.50 eV per cell. As for the space-group type: C2/m (12). For the density of states at the Fermi level, the calculation gives 0.0000 states/eV/atom. The formation energy (no corrections) is -240.1 kJ/mol of atoms. As for the magnetic moment: 0.00 μB/atom.

Lattice parameters (Å, degrees): 6.458 6.458 7.289 98.50 98.50 120.00
Fractional positions:
O1 0.388 0.057 0.170
O2 0.057 0.388 0.170
O3 0.943 0.612 0.830
O4 0.612 0.943 0.830
O5 0.274 0.274 0.829
O6 0.726 0.726 0.171
Cs1 0.500 0.500 0.500
Cs2 0.167 0.833 0.500
Cs3 0.833 0.167 0.500
Pr1 0.667 0.333 0.000
Pr2 0.333 0.667 0.000
Nd1 0.000 0.000 0.000

---

[10]
This record from the Alexandria database describes a relaxed Cs2NdPtO4 crystal. The functional is PBE-GGA.

Results
The calculated total energy is -86.62 eV per cell. As for the space-group type: Fddd (70). For the density of states at the Fermi level, the calculation gives 0.9216 states/eV/atom. The formation energy (no corrections) is -132.2 kJ/mol of atoms. As for the magnetic moment: 0.12 μB/atom.

Lattice parameters (Å, degrees): 6.361 7.998 12.482 84.18 75.24 66.57
Each line ends with the local moment (μB).
Fractional positions:
O1 0.179 0.193 0.998  0.11
O2 0.927 0.693 0.502  0.11
O3 0.122 0.307 0.498  0.11
O4 0.823 0.807 0.998  0.11
O5 0.571 0.307 0.502  0.11
O6 0.628 0.193 0.002  0.11
O7 0.379 0.693 0.498  0.11
O8 0.371 0.807 0.002  0.11
Cs1 0.565 0.500 0.870  0.00
Cs2 0.185 0.000 0.630  0.00
Cs3 0.815 0.000 0.370  0.00
Cs4 0.935 0.500 0.130  0.00
Nd1 0.000 0.000 0.000  0.00
Nd2 0.750 0.500 0.500  0.00
Pt1 0.500 0.000 0.000  0.44
Pt2 0.250 0.500 0.500  0.44

---

[11]
This record from the Alexandria database describes a relaxed Cs4Nd3PtO8 crystal. The functional is PBE-GGA.

Results
The calculated total energy is -95.13 eV per cell. As for the space-group type: C2/m (12). For the density of states at the Fermi level, the calculation gives 0.5249 states/eV/atom. The formation energy (no corrections) is -191.2 kJ/mol of atoms. As for the magnetic moment: 0.07 μB/atom.

Lattice parameters (Å, degrees): 7.070 7.867 7.502 113.78 118.11 90.00
Each line ends with the local moment (μB).
Fractional positions:
Cs1 0.000 0.000 0.000  0.01
Cs2 0.000 0.000 0.500  0.00
Cs3 0.500 0.000 0.000  0.01
Cs4 0.500 0.000 0.500  0.00
O1 0.707 0.669 0.414  0.00
O2 0.179 0.643 0.929  0.09
O3 0.717 0.285 0.433  0.05
O4 0.250 0.357 0.071  0.09
O5 0.750 0.643 0.929  0.09
O6 0.821 0.357 0.071  0.09
O7 0.283 0.715 0.567  0.05
O8 0.293 0.331 0.586  0.00
Nd1 0.500 0.500 0.000  0.00
Nd2 0.000 0.500 0.500  0.00
Nd3 0.500 0.500 0.500  0.00
Pt1 0.000 0.500 0.000  0.52

---

[12]
This record from the Alexandria database describes a relaxed Cs2NdPu3O12 crystal. The functional is PBE-GGA.

Results
The calculated total energy is -154.89 eV per cell. As for the space-group type: R-3m (166). For the density of states at the Fermi level, the calculation gives 0.4913 states/eV/atom. The formation energy (no corrections) is -246.2 kJ/mol of atoms. As for the magnetic moment: 0.28 μB/atom.

Lattice parameters (Å, degrees): 7.848 7.848 7.848 61.54 61.54 61.54
Each line ends with the local moment (μB).
Fractional positions:
O1 0.305 0.928 0.305  -0.12
O2 0.305 0.305 0.928  -0.12
O3 0.921 0.355 0.921  -0.09
O4 0.355 0.921 0.921  -0.09
O5 0.079 0.079 0.645  -0.09
O6 0.695 0.072 0.695  -0.12
O7 0.079 0.645 0.079  -0.09
O8 0.928 0.305 0.305  -0.12
O9 0.921 0.921 0.355  -0.09
O10 0.645 0.079 0.079  -0.09
O11 0.072 0.695 0.695  -0.12
O12 0.695 0.695 0.072  -0.12
Cs1 0.380 0.380 0.380  0.00
Cs2 0.620 0.620 0.620  0.00
Pu1 0.000 0.000 0.500  2.12
Pu2 0.000 0.500 0.000  2.12
Pu3 0.500 0.000 0.000  2.12
Nd1 0.000 0.000 0.000  -0.01